Entry 1:
VASP calculation (PBE) on an optimized crystal structure of Nb2VRu5.

- Total moment: 0.0 μB/f.u.
- Formation enthalpy at 0 K: -24.5 kJ/mol of atoms
- Space group: Pbam (55)
- DFT total energy: -9.71 eV per atom

Geometry as POSCAR:
```
Nb2VRu5
1.0
5.392 0.000 0.000
0.000 10.443 0.000
0.000 0.000 4.253
Nb V Ru
4 2 10
Cartesian
0.828 1.478 0.000
1.868 6.700 0.000
3.524 3.744 0.000
4.564 8.966 0.000
0.000 5.222 2.126
2.696 0.000 2.126
0.000 0.000 2.126
0.631 7.652 2.126
0.925 4.123 0.000
1.771 9.345 0.000
2.065 2.430 2.126
2.696 5.222 2.126
3.327 8.013 2.126
3.621 1.099 0.000
4.467 6.320 0.000
4.761 2.792 2.126
```

Entry 2:
VASP calculation (PBE) on an optimized crystal structure of Nb2VRu.

- Total moment: 0.0 μB/f.u.
- Formation enthalpy at 0 K: 41.3 kJ/mol of atoms
- Space group: I-42d (122)
- DFT total energy: -9.21 eV per atom

Geometry as POSCAR:
```
Nb2VRu
1.0
-3.572 3.572 2.685
3.572 -3.572 2.685
3.572 3.572 -2.685
Nb V Ru
4 2 2
Cartesian
5.358 1.708 -0.671
1.708 1.786 0.671
-1.786 1.864 2.014
1.864 1.786 3.356
3.572 0.000 1.342
0.000 0.000 2.685
0.000 0.000 0.000
0.000 3.572 1.342
```

Entry 3:
VASP calculation (PBE) on an optimized crystal structure of Nb2VRu.

- Total moment: 0.0 μB/f.u.
- Formation enthalpy at 0 K: -21.5 kJ/mol of atoms
- Space group: P4/mmm (123)
- DFT total energy: -9.86 eV per atom

Geometry as POSCAR:
```
Nb2VRu
1.0
3.158 0.000 0.000
0.000 3.158 0.000
0.000 0.000 6.394
Nb V Ru
2 1 1
Cartesian
0.000 0.000 1.567
0.000 0.000 4.827
1.579 1.579 0.000
1.579 1.579 3.197
```

Entry 4:
VASP calculation (PBE) on an optimized crystal structure of Nb4VRu.

- Total moment: 0.0 μB/f.u.
- Formation enthalpy at 0 K: 42.4 kJ/mol of atoms
- Polymorph energy (0 for the lowest one): 565.1 meV/atom
- Space group: C2/m (12)
- DFT total energy: -9.34 eV per atom

Geometry as POSCAR:
```
Nb4VRu
1.0
3.066 -3.066 0.000
3.066 3.066 0.000
-0.008 0.000 6.173
Nb V Ru
4 1 1
Cartesian
4.596 -1.533 1.507
1.528 1.533 4.666
4.596 1.533 1.507
1.528 -1.533 4.666
0.000 0.000 0.000
3.062 0.000 3.086
```

Entry 5:
VASP calculation (PBE) on an optimized crystal structure of Nb6VRu.

- Total moment: 0.0 μB/f.u.
- Formation enthalpy at 0 K: -12.3 kJ/mol of atoms
- Polymorph energy (0 for the lowest one): 0.0 meV/atom
- Space group: I4/mmm (139)
- DFT total energy: -9.98 eV per atom

Geometry as POSCAR:
```
Nb6VRu
1.0
-2.289 2.289 6.522
2.289 -2.289 6.522
2.289 2.289 -6.522
Nb V Ru
6 1 1
Cartesian
2.289 0.000 1.574
0.000 0.000 3.204
2.289 0.000 4.948
0.000 2.289 1.574
0.000 0.000 9.839
0.000 2.289 4.948
0.000 0.000 0.000
0.000 0.000 6.522
```

Entry 6:
VASP calculation (PBE) on an optimized crystal structure of Nb2VRu6.

- Total moment: 0.0 μB/f.u.
- Formation enthalpy at 0 K: 15.3 kJ/mol of atoms
- Space group: C2/m (12)
- DFT total energy: -9.28 eV per atom

Geometry as POSCAR:
```
Nb2VRu6
1.0
4.720 -3.773 0.000
4.720 3.773 0.000
-2.057 0.000 3.911
Nb V Ru
2 1 6
Cartesian
1.270 0.000 0.675
6.112 0.000 3.236
3.691 0.000 1.955
2.520 2.286 1.332
4.720 1.283 0.000
4.863 2.286 2.579
2.520 -2.286 1.332
4.720 -1.283 0.000
4.863 -2.286 2.579
```

Entry 7:
VASP calculation (PBE) on an optimized crystal structure of NbV3Ru6.

- Total moment: 0.0 μB/f.u.
- Formation enthalpy at 0 K: -22.0 kJ/mol of atoms
- Space group: P2_1/m (11)
- DFT total energy: -9.54 eV per atom

Geometry as POSCAR:
```
NbV3Ru6
1.0
7.917 0.000 0.000
0.000 4.076 0.000
-1.075 0.000 8.844
Nb V Ru
2 6 12
Cartesian
0.024 1.019 3.421
6.818 3.057 5.423
1.918 1.019 0.411
1.817 3.057 7.307
2.817 1.019 5.338
4.025 3.057 3.506
5.025 1.019 1.536
4.924 3.057 8.433
-0.471 3.057 8.122
0.980 3.057 1.924
0.650 1.019 6.500
1.570 3.057 4.573
2.727 1.019 2.802
3.562 3.057 0.935
3.280 1.019 7.909
4.115 3.057 6.042
5.272 1.019 4.271
6.192 3.057 2.344
5.861 1.019 6.920
7.313 1.019 0.721
```

Entry 8:
VASP calculation (PBE) on an optimized crystal structure of Nb4VRu.

- Total moment: 0.0 μB/f.u.
- Formation enthalpy at 0 K: -12.2 kJ/mol of atoms
- Polymorph energy (0 for the lowest one): 0.0 meV/atom
- Space group: P4/mmm (123)
- DFT total energy: -9.90 eV per atom

Geometry as POSCAR:
```
Nb4VRu
1.0
3.221 0.000 0.000
0.000 3.221 0.000
0.000 0.000 9.690
Nb V Ru
4 1 1
Cartesian
0.000 0.000 1.547
0.000 0.000 8.143
1.610 1.610 3.256
1.610 1.610 6.434
1.610 1.610 0.000
0.000 0.000 4.845
```

Entry 9:
VASP calculation (PBE) on an optimized crystal structure of Nb2V3Ru.

- Total moment: 0.0 μB/f.u.
- Formation enthalpy at 0 K: -7.4 kJ/mol of atoms
- Space group: Cmmm (65)
- DFT total energy: -9.54 eV per atom

Geometry as POSCAR:
```
Nb2V3Ru
1.0
2.251 -4.701 0.000
2.251 4.701 0.000
0.000 0.000 8.619
Nb V Ru
4 6 2
Cartesian
0.000 0.000 0.000
0.000 0.000 4.310
2.251 1.558 0.000
2.251 -1.558 0.000
2.251 3.083 2.248
2.251 3.083 6.371
2.251 0.000 2.245
2.251 0.000 6.375
2.251 -3.083 2.248
2.251 -3.083 6.371
2.251 1.544 4.310
2.251 -1.544 4.310
```

Entry 10:
VASP calculation (PBE) on an optimized crystal structure of Nb4VRu5.

- Total moment: 0.0 μB/f.u.
- Formation enthalpy at 0 K: -19.6 kJ/mol of atoms
- Space group: P4/mmm (123)
- DFT total energy: -9.78 eV per atom

Geometry as POSCAR:
```
Nb4VRu5
1.0
3.032 0.000 0.000
0.000 3.032 0.000
0.000 0.000 17.024
Nb V Ru
4 1 5
Cartesian
0.000 0.000 1.733
0.000 0.000 5.220
0.000 0.000 11.804
0.000 0.000 15.291
0.000 0.000 8.512
1.516 1.516 0.000
1.516 1.516 3.389
1.516 1.516 7.082
1.516 1.516 9.942
1.516 1.516 13.635
```

Entry 11:
VASP calculation (PBE) on an optimized crystal structure of NbV4Ru3.

- Total moment: 0.0 μB/f.u.
- Formation enthalpy at 0 K: -20.3 kJ/mol of atoms
- Space group: P4/mmm (123)
- DFT total energy: -9.51 eV per atom

Geometry as POSCAR:
```
NbV4Ru3
1.0
3.036 0.000 0.000
0.000 3.036 0.000
0.000 0.000 12.293
Nb V Ru
1 4 3
Cartesian
0.000 0.000 0.000
1.518 1.518 1.602
1.518 1.518 4.631
1.518 1.518 7.661
1.518 1.518 10.691
0.000 0.000 3.151
0.000 0.000 6.146
0.000 0.000 9.141
```

Entry 12:
VASP calculation (PBE) on an optimized crystal structure of Nb2VRu9.

- Total moment: 0.0 μB/f.u.
- Formation enthalpy at 0 K: -10.5 kJ/mol of atoms
- Space group: P4/mmm (123)
- DFT total energy: -9.50 eV per atom

Geometry as POSCAR:
```
Nb2VRu9
1.0
3.876 0.000 0.000
0.000 3.876 0.000
0.000 0.000 11.618
Nb V Ru
2 1 9
Cartesian
0.000 0.000 1.949
0.000 0.000 9.669
0.000 0.000 5.809
0.000 1.938 0.000
0.000 1.938 3.972
0.000 1.938 7.646
1.938 0.000 0.000
1.938 0.000 3.972
1.938 0.000 7.646
1.938 1.938 1.973
1.938 1.938 5.809
1.938 1.938 9.645
```

Q: Look up the DFT total energy of the fifth one.
A: -9.98 eV per atom